# Rb2LiPmBr6

A geometry-optimized Rb2LiPmBr6 structure (PBE, the Alexandria database).

```
Rb2LiPmBr6
1.0
7.835 0.000 -0.013
0.000 7.997 0.000
0.054 0.000 11.121
Rb Li Br Pm
4 2 12 2
Direct
0.013 0.951 0.251
0.487 0.451 0.249
0.513 0.549 0.751
0.987 0.049 0.749
0.000 0.500 0.500
0.500 0.000 0.000
0.292 0.713 0.034
0.437 0.990 0.755
0.063 0.490 0.745
0.792 0.787 0.534
0.708 0.287 0.966
0.288 0.709 0.468
0.712 0.291 0.532
0.937 0.510 0.255
0.563 0.010 0.245
0.788 0.791 0.968
0.212 0.209 0.032
0.208 0.213 0.466
0.500 0.000 0.500
0.000 0.500 0.000
```

Output
* N(E_F): 0.00 states/eV/cell
* symmetry: P2_1/c, No. 14
* electronic total energy: -3.64 eV/atom